No. 1
KLi3Cd | PBEsol | relaxed

Lattice parameters (Å, degrees): 5.349 5.349 5.349 90.00 90.00 90.00
Atoms (fractional coordinates):
K (0.500, 0.500, 0.500)
Li (0.000, 0.500, 0.000)
Li (0.000, 0.000, 0.500)
Li (0.500, 0.000, 0.000)
Cd (0.000, 0.000, 0.000)

For the total DFT energy (no corrections), the calculation gives -0.116 Ry per atom. Its energy of formation is 33 kJ/mol of formula units. The magnetization is 0.0 μB per formula unit. Its density of states at the Fermi level is 2.79 states/eV per cell. The distance to the lowest polymorph of the same formula is 0.0000 eV per atom. Its space group is Pm-3m, No. 221.



No. 2
KLi2Cd | PBEsol | relaxed

Lattice parameters (Å, degrees): 3.604 3.770 8.275 90.00 90.00 90.00
Atoms (fractional coordinates):
Cd (0.500, 0.000, 0.417)
K (0.000, 0.500, 0.725)
Li (0.500, 0.000, 0.080)
Li (0.000, 0.500, 0.278)

For the total DFT energy (no corrections), the calculation gives -0.115 Ry per atom. Its energy of formation is 3 kJ/mol of formula units. The magnetization is 0.0 μB per formula unit. Its density of states at the Fermi level is 1.93 states/eV per cell. Its space group is Pmm2, No. 25.



No. 3
KLi3Cd | PBEsol | relaxed

Lattice parameters (Å, degrees): 5.316 5.316 5.316 90.00 90.00 90.00
Atoms (fractional coordinates):
K (0.000, 0.000, 0.000)
Li (0.000, 0.500, 0.000)
Li (0.000, 0.000, 0.500)
Li (0.500, 0.000, 0.000)
Cd (0.500, 0.500, 0.500)

For the total DFT energy (no corrections), the calculation gives -0.071 Ry per atom. Its energy of formation is 326 kJ/mol of formula units. The magnetization is 0.0 μB per formula unit. Its density of states at the Fermi level is 2.45 states/eV per cell. The distance to the lowest polymorph of the same formula is 0.6073 eV per atom. Its space group is Pm-3m, No. 221.



No. 4
KLi2Cd | PBEsol | relaxed

Lattice parameters (Å, degrees): 3.742 5.298 5.298 90.00 90.00 90.00
Atoms (fractional coordinates):
Cd (0.500, 0.500, 0.500)
K (0.500, 0.000, 0.000)
Li (0.000, 0.000, 0.500)
Li (0.000, 0.500, 0.000)

For the total DFT energy (no corrections), the calculation gives -0.106 Ry per atom. Its energy of formation is 46 kJ/mol of formula units. The magnetization is 0.0 μB per formula unit. Its density of states at the Fermi level is 2.12 states/eV per cell. Its space group is P4/mmm, No. 123.



No. 5
KMg2Cd | PBEsol | relaxed

Lattice parameters (Å, degrees): 3.273 5.300 7.298 96.12 90.00 107.98
Atoms (fractional coordinates):
Cd (0.511, 0.022, 0.578)
K (0.755, 0.510, 0.261)
Mg (0.987, 0.973, 0.924)
Mg (0.247, 0.495, 0.737)

For the total DFT energy (no corrections), the calculation gives -0.097 Ry per atom. Its energy of formation is 45 kJ/mol of formula units. The magnetization is 0.0 μB per formula unit. Its density of states at the Fermi level is 2.21 states/eV per cell. Its space group is Cm, No. 8.



No. 6
KMgCd2 | PBEsol | relaxed

Lattice parameters (Å, degrees): 3.481 5.556 5.556 90.00 90.00 90.00
Atoms (fractional coordinates):
Cd (0.000, 0.000, 0.500)
Cd (0.000, 0.500, 0.000)
K (0.500, 0.500, 0.500)
Mg (0.500, 0.000, 0.000)

For the total DFT energy (no corrections), the calculation gives -0.088 Ry per atom. Its energy of formation is 45 kJ/mol of formula units. The magnetization is 0.0 μB per formula unit. Its density of states at the Fermi level is 1.92 states/eV per cell. Its space group is P4/mmm, No. 123.



- Which of these has the lowest total DFT energy (no corrections)?
  number 1